Entry from the Alexandria database: a geometry-optimized Li2Ga7Tc2 structure (GGA-PBE).

Cell and atoms, written as CIF:
```
data_Li2Ga7Tc2
_cell_length_a 5.633
_cell_length_b 6.260
_cell_length_c 5.633
_cell_angle_alpha 90.08
_cell_angle_beta 104.21
_cell_angle_gamma 89.92
_space_group_name_H-M_alt 'P 1'
_space_group_IT_number 1
_space_group_name_Hall 'P 1'
loop_
_atom_site_label
_atom_site_type_symbol
_atom_site_fract_x
_atom_site_fract_y
_atom_site_fract_z
Ga1 Ga 0.000 0.296 0.500
Ga2 Ga 0.500 0.278 0.500
Ga3 Ga 0.500 0.722 0.500
Ga4 Ga 0.500 0.296 0.000
Ga5 Ga 0.000 0.000 0.000
Ga6 Ga 0.500 0.704 0.000
Ga7 Ga 0.000 0.704 0.500
Tc1 Tc 0.281 0.000 0.719
Tc2 Tc 0.719 0.000 0.281
Li1 Li 0.832 0.500 0.832
Li2 Li 0.168 0.500 0.168
```

Summary:
DFT formation energy	0	kJ per mole of atoms
electronic total energy	-4.16	eV per atom
total moment	0.000	Bohr magnetons per cell
calculated density	6.0	g/cm³
SG	No. 12

***

Entry from the Alexandria database: a geometry-optimized LiGa2Tc structure (GGA-PBE).

Cell and atoms, written as CIF:
```
data_LiGa2Tc
_cell_length_a 3.152
_cell_length_b 4.244
_cell_length_c 4.244
_cell_angle_alpha 90.00
_cell_angle_beta 90.00
_cell_angle_gamma 90.00
_space_group_name_H-M_alt 'P 1'
_space_group_IT_number 1
_space_group_name_Hall 'P 1'
loop_
_atom_site_label
_atom_site_type_symbol
_atom_site_fract_x
_atom_site_fract_y
_atom_site_fract_z
Tc1 Tc 0.500 0.500 0.500
Ga1 Ga 0.000 0.500 0.000
Ga2 Ga 0.000 0.000 0.500
Li1 Li 0.500 0.000 0.000
```

Summary:
DFT formation energy	-22	kJ per mole of atoms
electronic total energy	-4.81	eV per atom
total moment	0.000	Bohr magnetons per cell
calculated density	7.1	g/cm³
SG	No. 123

***

The highest calculated density belongs to which entry?
LiGa2Tc

***

Number 1 is which compound?
Li2Ga7Tc2

***

What is the electronic total energy in the first record?
-4.16 eV per atom

***

The lowest calculated density belongs to which entry?
Li2Ga7Tc2